DFT (GGA-PBEsol) results for an optimized crystal structure of TiSi3Ag.

The space group is Pm-3m (No. 221) and the conventional cell measures 4.710, 4.710 and 4.710 Å, with angles of 90.00, 90.00 and 90.00 degrees. The inequivalent atoms are Ti at (0.000, 0.000, 0.000), Si at (0.000, 0.500, 0.500) and Ag at (0.500, 0.500, 0.500).

The calculation puts the density of states at the Fermi level at 1.306 states/eV/atom. For the total energy, the calculation gives -23.0 eV per cell. As for the uncorrected formation energy: 1.18 eV per atom. For the calculated density, the calculation gives 3.813 g/cm3.